The following is a DFT calculation (GGA-PBE) of a geometry-optimized YAl3Sn structure.

Unit cell a=5.4756 b=5.4756 c=5.4756 alpha=90.00 beta=90.00 gamma=90.00
Closest atoms and distances in Å follow each position.
Element x y z (fractional)
Y  0.0000  0.0000  0.0000  6 Al 2.74
Al  0.0000  0.0000  0.5000  2 Y 2.74
Al  0.0000  0.5000  0.0000  2 Y 2.74
Al  0.5000  0.0000  0.0000  2 Y 2.74
Sn  0.5000  0.5000  0.5000  12 Al 3.87

Total magnetic moment (μB/atom): 0.0002
Density of states at the Fermi level (states/eV/f.u.): 5.23
Formation enthalpy at 0 K (eV/atom): 0.9940
E_tot (eV per atom): -3.34
Distance to the lowest polymorph of the same formula (kJ/mol of atoms): 36.6
Space group: Pm-3m, No. 221